No. 1
The following is a GGA-PBE calculation of LaRuNO2 after structural relaxation, from Alexandria.

Values from the calculation:
- E (eV per atom) = -6.12
- D(E_F) (states/eV per cell) = 3.9

Unit cell a=4.479 b=4.479 c=4.416 alpha=90.00 beta=90.00 gamma=90.00
Space group P4/mmm (No. 123)
Symmetry-distinct sites (fractional):
La: 0.000 0.000 0.000 x1
Ru: 0.500 0.500 0.500 x1
N: 0.000 0.000 0.500 x1
O: 0.000 0.500 0.000 x2

No. 2
The following is a GGA-PBE calculation of AcPu after structural relaxation, from Alexandria.

Values from the calculation:
- E (eV per atom) = -8.89
- D(E_F) (states/eV per cell) = 8.2

Unit cell a=3.528 b=3.667 c=9.364 alpha=90.00 beta=93.70 gamma=90.00
Space group P2_1/m (No. 11)
Symmetry-distinct sites (fractional):
Ac: 0.239 0.250 0.331 x2
Pu: 0.356 0.250 0.944 x2

No. 3
The following is a GGA-PBE calculation of TaTeRu after structural relaxation, from Alexandria.

Values from the calculation:
- energy above the lowest structure with this stoichiometry (eV per formula unit) = 0.01
- D(E_F) (states/eV per cell) = 6.3

Unit cell a=3.164 b=19.839 c=4.396 alpha=90.00 beta=90.00 gamma=90.00
Space group Cmcm (No. 63)
Symmetry-distinct sites (fractional):
Ta: 0.000 0.065 0.250 x4
Te: 0.000 0.165 0.750 x4
Ru: 0.000 0.456 0.250 x4

No. 4
The following is a GGA-PBE calculation of SrMn2Fe after structural relaxation, from Alexandria.

Values from the calculation:
- E (eV per atom) = -6.54
- D(E_F) (states/eV per cell) = 5.1

Unit cell a=2.992 b=3.358 c=7.264 alpha=90.00 beta=90.13 gamma=90.00
Space group Pm (No. 6)
Symmetry-distinct sites (fractional):
Sr: 0.000 0.000 0.000 x1
Mn: 0.500 0.500 0.350 x1
Mn: 0.999 0.000 0.516 x1
Fe: 0.498 0.500 0.677 x1

No. 5
The following is a GGA-PBE calculation of PmHgH after structural relaxation, from Alexandria.

Values from the calculation:
- energy above the lowest structure with this stoichiometry (eV per formula unit) = 0.22
- D(E_F) (states/eV per cell) = 7.4

Unit cell a=3.9322 b=3.9322 c=28.1166 alpha=90.00 beta=90.00 gamma=120.00
Space group R-3m (No. 166, hexagonal axes)
Symmetry-distinct sites (fractional):
Pm: 0.0000 0.0000 0.1158 x6
Hg: 0.0000 0.0000 0.3692 x6
H: 0.0000 0.0000 0.1977 x6

No. 6
The following is a GGA-PBE calculation of YC after structural relaxation, from Alexandria.

Values from the calculation:
- energy above the lowest structure with this stoichiometry (eV per formula unit) = 0.53
- D(E_F) (states/eV per cell) = 12.3

Unit cell a=5.096 b=5.096 c=5.096 alpha=90.00 beta=90.00 gamma=90.00
Space group Fm-3m (No. 225)
Symmetry-distinct sites (fractional):
Y: 0.000 0.000 0.000 x4
C: 0.000 0.000 0.500 x4

No. 7
The following is a GGA-PBE calculation of Ga2FeSn2 after structural relaxation, from Alexandria.

Values from the calculation:
- energy above the lowest structure with this stoichiometry (eV per formula unit) = 0.40
- D(E_F) (states/eV per cell) = 5.9

Unit cell a=7.013 b=7.013 c=4.323 alpha=90.00 beta=90.00 gamma=90.00
Space group P4/mbm (No. 127)
Symmetry-distinct sites (fractional):
Ga: 0.153 0.347 0.000 x4
Fe: 0.000 0.000 0.500 x2
Sn: 0.157 0.657 0.500 x4

No. 8
The following is a GGA-PBE calculation of La3Pr4Pd2 after structural relaxation, from Alexandria.

Values from the calculation:
- E (eV per atom) = -5.22
- D(E_F) (states/eV per cell) = 26.4

Unit cell a=17.567 b=3.887 c=9.443 alpha=90.00 beta=114.00 gamma=90.00
Space group C2/m (No. 12)
Symmetry-distinct sites (fractional):
La: 0.000 0.000 0.000 x2
La: 0.067 0.000 0.672 x4
Pr: 0.140 0.500 0.389 x4
Pr: 0.236 0.000 0.163 x4
Pd: 0.116 0.500 0.947 x4

No. 9
The following is a GGA-PBE calculation of CaLaTc2 after structural relaxation, from Alexandria.

Values from the calculation:
- energy above the lowest structure with this stoichiometry (eV per formula unit) = 1.85
- D(E_F) (states/eV per cell) = 9.5

Unit cell a=3.434 b=5.164 c=9.180 alpha=90.00 beta=90.00 gamma=90.00
Space group Immm (No. 71)
Symmetry-distinct sites (fractional):
Ca: 0.000 0.000 0.000 x2
La: 0.000 0.000 0.500 x2
Tc: 0.000 0.500 0.234 x4

No. 10
The following is a GGA-PBE calculation of KTaCu after structural relaxation, from Alexandria.

Values from the calculation:
- energy above the lowest structure with this stoichiometry (eV per formula unit) = 0.00
- D(E_F) (states/eV per cell) = 5.4

Unit cell a=3.015 b=3.015 c=14.895 alpha=90.00 beta=90.00 gamma=90.00
Space group I4mm (No. 107)
Symmetry-distinct sites (fractional):
K: 0.000 0.000 0.000 x2
Ta: 0.000 0.000 0.280 x2
Cu: 0.000 0.000 0.677 x2

No. 11
The following is a GGA-PBE calculation of V12Si6W after structural relaxation, from Alexandria.

Values from the calculation:
- E (eV per atom) = -8.42
- D(E_F) (states/eV per cell) = 45.0

Unit cell a=11.6511 b=11.6511 c=6.4772 alpha=90.00 beta=90.00 gamma=120.00
Space group R-3 (No. 148, hexagonal axes)
Symmetry-distinct sites (fractional):
V: 0.0055 0.8663 0.1605 x18
V: 0.0553 0.4878 0.1799 x18
Si: 0.0224 0.7574 0.8251 x18
W: 0.0000 0.0000 0.5000 x3

No. 12
The following is a GGA-PBE calculation of NdSmSiPt after structural relaxation, from Alexandria.

Values from the calculation:
- E (eV per atom) = -6.19
- D(E_F) (states/eV per cell) = 5.2

Unit cell a=4.221 b=4.150 c=11.029 alpha=90.00 beta=90.00 gamma=90.00
Space group Amm2 (No. 38)
Symmetry-distinct sites (fractional):
Nd: 0.000 0.000 0.000 x2
Sm: 0.500 0.000 0.280 x2
Si: 0.500 0.000 0.571 x2
Pt: 0.000 0.000 0.719 x2